This record from the Alexandria database describes CuIr2Ru after structural relaxation. The functional is PBEsol.

Output
**Symmetry**: No. 166
**Total moment**: 0.00 μB per atom
**Fermi-level density of states**: 3.3 states/eV/f.u.
**Energy of formation**: 0.03 eV/atom

Cell and atoms, written as POSCAR:
```
CuIr2Ru
1.0
1.3425 0.7751 8.5530
-1.3425 0.7751 8.5530
0.0000 -1.5502 8.5530
Cu Ir Ru
1 2 1
Cartesian
0.0000 0.0000 0.0000 Cu
0.0000 0.0000 6.4291 Ir
0.0000 0.0000 19.2298 Ir
0.0000 0.0000 12.8295 Ru
```